[1]
The following is a GGA-PBE calculation of a relaxed La7Y4Th crystal, from Alexandria via LeMat-Bulk.

Unit cell a=9.8676 b=9.8676 c=9.5946 alpha=54.20 beta=54.20 gamma=36.07
With the nearest neighbours (Å) after each atom.
Element x y z (fractional)
La1 0.2820 0.2820 0.5601  4 Y 3.45-3.75, 5 La 3.72-3.79
La2 0.9267 0.9267 0.4549  1 La 3.35, 1 Y 3.37, 1 Th 3.68
La3 0.5000 0.5000 0.0000  2 Th 3.06, 2 Y 3.12
La4 0.1718 0.1718 0.0410  6 Y 3.33-3.67, 1 Th 3.48, 1 La 3.72
La5 0.8282 0.8282 0.9590  6 Y 3.33-3.67, 1 Th 3.48, 1 La 3.72
La6 0.0733 0.0733 0.5451  1 La 3.35, 1 Y 3.37, 1 Th 3.68
La7 0.7180 0.7180 0.4399  4 Y 3.45-3.75, 5 La 3.72-3.79
Y1 0.2930 0.2930 0.1877  4 La 3.12-3.45
Y2 0.4193 0.4193 0.7228  2 Y 3.39-3.54, 5 La 3.55-3.78
Y3 0.5807 0.5807 0.2772  2 Y 3.39-3.54, 5 La 3.55-3.78
Y4 0.7070 0.7070 0.8123  4 La 3.12-3.45
Th1 0.0000 0.0000 0.0000  2 La 3.06

Computed properties:
The total energy is -5.42 eV per atom. The total magnetic moment comes out at 0.0 μB/cell.

[2]
The following is a GGA-PBE calculation of a relaxed La7Y12Th crystal, from Alexandria via LeMat-Bulk.

Unit cell a=9.8671 b=9.8671 c=9.8671 alpha=109.47 beta=109.47 gamma=109.47
With the nearest neighbours (Å) after each atom.
Element x y z (fractional)
Y1 0.5146 0.7569 0.7577  2 La 2.85
Y2 0.2423 0.9992 0.7569  2 La 2.85
Y3 0.9992 0.7569 0.2423  2 La 2.85
Y4 0.7577 0.5146 0.7569  2 La 2.85
Y5 0.2431 0.2423 0.4854  2 La 2.85
Y6 0.0008 0.2431 0.7577  2 La 2.85
Y7 0.7569 0.7577 0.5146  2 La 2.85
Y8 0.2423 0.4854 0.2431  2 La 2.85
Y9 0.2431 0.7577 0.0008  2 La 2.85
Y10 0.7569 0.2423 0.9992  2 La 2.85
Y11 0.4854 0.2431 0.2423  2 La 2.85
Y12 0.7577 0.0008 0.2431  2 La 2.85
La1 0.0000 0.5000 0.5000  12 Y 4.02-4.15
La2 0.5000 0.5000 0.0000  12 Y 4.02-4.15
La3 0.0000 0.0000 0.5000  6 Y 2.85
La4 0.5000 0.0000 0.5000  12 Y 4.02-4.15
La5 0.5000 0.5000 0.5000  6 Y 2.85
La6 0.0000 0.5000 0.0000  6 Y 2.85
La7 0.5000 0.0000 0.0000  6 Y 2.85
Th1 0.0000 0.0000 0.0000  12 Y 3.91

Computed properties:
The total energy is -5.34 eV per atom. The total magnetic moment comes out at 0.0 μB/cell.

[3]
The following is a GGA-PBE calculation of a relaxed La14YTh crystal, from Alexandria via LeMat-Bulk.

Unit cell a=7.3834 b=7.3834 c=10.5295 alpha=90.00 beta=90.00 gamma=90.07
With the nearest neighbours (Å) after each atom.
Element x y z (fractional)
La1 0.1255 0.8745 0.5000  12 La 3.69-3.79
La2 0.1253 0.3754 0.0000  8 La 3.67-3.68, 2 Y 3.69, 2 Th 3.69
La3 0.3805 0.1304 0.7546  10 La 3.61-3.78, 1 Th 3.63, 1 Y 3.71
La4 0.6246 0.8747 0.0000  8 La 3.67-3.68, 2 Y 3.69, 2 Th 3.69
La5 0.8693 0.1307 0.2454  10 La 3.61-3.79, 1 Th 3.63, 1 Y 3.71
La6 0.1246 0.3743 0.5000  12 La 3.69-3.74
La7 0.3806 0.6194 0.7545  10 La 3.61-3.78, 1 Th 3.64, 1 Y 3.72
La8 0.8693 0.1307 0.7546  10 La 3.61-3.79, 1 Th 3.63, 1 Y 3.71
La9 0.3805 0.1304 0.2454  10 La 3.61-3.78, 1 Th 3.63, 1 Y 3.71
La10 0.6245 0.3755 0.5000  12 La 3.69-3.71
La11 0.6257 0.8754 0.5000  12 La 3.69-3.74
La12 0.8696 0.6195 0.7546  10 La 3.61-3.78, 1 Th 3.63, 1 Y 3.71
La13 0.3806 0.6194 0.2455  10 La 3.61-3.78, 1 Th 3.64, 1 Y 3.72
La14 0.8696 0.6195 0.2454  10 La 3.61-3.78, 1 Th 3.63, 1 Y 3.71
Th1 0.6252 0.3748 0.0000  12 La 3.63-3.69
Y1 0.1248 0.8752 0.0000  12 La 3.69-3.72

Computed properties:
The total energy is -5.17 eV per atom. The total magnetic moment comes out at 0.0 μB/cell.

[4]
The following is a GGA-PBE calculation of a relaxed La3Y12Th crystal, from Alexandria via LeMat-Bulk.

Unit cell a=5.1070 b=5.1070 c=20.4408 alpha=90.00 beta=90.00 gamma=90.00
With the nearest neighbours (Å) after each atom.
Element x y z (fractional)
Y1 0.5000 0.5000 0.2480  4 La 3.61, 8 Y 3.62-3.65
Y2 0.5000 0.0000 0.1205  2 Th 3.55, 8 Y 3.55-3.65, 2 La 3.66
Y3 0.5000 0.5000 0.0000  8 Y 3.55, 4 Th 3.61
Y4 0.5000 0.0000 0.8795  2 Th 3.55, 8 Y 3.55-3.65, 2 La 3.66
Y5 0.5000 0.0000 0.6263  4 La 3.61-3.63, 8 Y 3.61-3.63
Y6 0.5000 0.5000 0.5000  4 La 3.61, 8 Y 3.63
Y7 0.0000 0.5000 0.8795  2 Th 3.55, 8 Y 3.55-3.65, 2 La 3.66
Y8 0.0000 0.5000 0.1205  2 Th 3.55, 8 Y 3.55-3.65, 2 La 3.66
Y9 0.0000 0.5000 0.3737  4 La 3.61-3.63, 8 Y 3.61-3.63
Y10 0.5000 0.0000 0.3737  4 La 3.61-3.63, 8 Y 3.61-3.63
Y11 0.5000 0.5000 0.7520  4 La 3.61, 8 Y 3.62-3.65
Y12 0.0000 0.5000 0.6263  4 La 3.61-3.63, 8 Y 3.61-3.63
La1 0.0000 0.0000 0.7512  12 Y 3.61-3.66
La2 0.0000 0.0000 0.2488  12 Y 3.61-3.66
La3 0.0000 0.0000 0.5000  12 Y 3.61-3.63
Th1 0.0000 0.0000 0.0000  12 Y 3.55-3.61

Computed properties:
The total energy is -6.20 eV per atom. The total magnetic moment comes out at 0.0 μB/cell.

[5]
The following is a GGA-PBE calculation of a relaxed LaY2Th crystal, from Alexandria via LeMat-Bulk.

Unit cell a=5.0570 b=7.2562 c=7.2914 alpha=90.00 beta=90.01 gamma=90.00
With the nearest neighbours (Å) after each atom.
Element x y z (fractional)
Th1 0.0000 0.7500 0.4999  8 Y 3.58, 2 Th 3.63, 2 La 3.65
Th2 0.0000 0.2500 0.5001  8 Y 3.58, 2 Th 3.63, 2 La 3.65
La1 0.0000 0.7500 0.9998  2 La 3.63, 8 Y 3.63-3.64, 2 Th 3.65
La2 0.0000 0.2500 0.0002  2 La 3.63, 8 Y 3.63-3.64, 2 Th 3.65
Y1 0.5001 0.5000 0.7420  4 Y 3.53-3.76, 4 Th 3.58, 4 La 3.63-3.64
Y2 0.4999 0.0000 0.2580  4 Y 3.53-3.76, 4 Th 3.58, 4 La 3.63-3.64
Y3 0.4999 0.5000 0.2580  4 Y 3.53-3.76, 4 Th 3.58, 4 La 3.63-3.64
Y4 0.5001 0.0000 0.7420  4 Y 3.53-3.76, 4 Th 3.58, 4 La 3.63-3.64

Computed properties:
The total energy is -6.29 eV per atom. The total magnetic moment comes out at 0.0 μB/cell.

[6]
The following is a GGA-PBE calculation of a relaxed La3Y6Th2 crystal, from Alexandria via LeMat-Bulk.

Unit cell a=6.2376 b=6.2430 c=11.6426 alpha=84.82 beta=79.60 gamma=60.03
With the nearest neighbours (Å) after each atom.
Element x y z (fractional)
Th1 0.1658 0.6684 0.5000  6 Y 3.45-3.46, 3 Th 3.59-3.61
Th2 0.8342 0.3316 0.5000  6 Y 3.45-3.46, 3 Th 3.59-3.61
Y1 0.2474 0.0000 0.2591  2 Th 3.45, 6 Y 3.60-3.61, 3 La 3.61-3.63
Y2 0.4199 0.6675 0.7405  2 Th 3.46, 6 Y 3.60-3.61, 3 La 3.62-3.64
Y3 0.7526 0.0000 0.7409  2 Th 3.45, 6 Y 3.60-3.61, 3 La 3.61-3.63
Y4 0.5801 0.3325 0.2595  2 Th 3.46, 6 Y 3.60-3.61, 3 La 3.62-3.64
Y5 0.0874 0.3325 0.7405  2 Th 3.46, 6 Y 3.60-3.61, 3 La 3.62-3.64
Y6 0.9126 0.6675 0.2595  2 Th 3.46, 6 Y 3.60-3.61, 3 La 3.62-3.64
La1 0.6640 0.6719 0.0000  6 La 3.55-3.63, 6 Y 3.61-3.64
La2 0.3360 0.3281 0.0000  6 La 3.55-3.63, 6 Y 3.61-3.64
La3 0.0000 0.0000 0.0000  6 La 3.59-3.63, 6 Y 3.62-3.63

Computed properties:
The total energy is -6.01 eV per atom. The total magnetic moment comes out at 0.0 μB/cell.

[7]
The following is a GGA-PBE calculation of a relaxed LaY6Th2 crystal, from Alexandria via LeMat-Bulk.

Unit cell a=6.7688 b=9.6394 c=9.6394 alpha=99.56 beta=98.45 gamma=98.45
With the nearest neighbours (Å) after each atom.
Element x y z (fractional)
Y1 0.0225 0.7397 0.3572  3 Th 3.44-3.60, 6 Y 3.48-3.69, 1 La 3.59
Y2 0.8091 0.4457 0.0824  2 Th 3.35-3.51, 6 Y 3.35-3.59, 1 La 3.45
Y3 0.4775 0.6428 0.2603  3 Th 3.44-3.60, 6 Y 3.48-3.69, 1 La 3.59
Y4 0.3130 0.2553 0.0479  2 Th 3.48-3.53, 3 La 3.48-3.86, 5 Y 3.49-3.87
Y5 0.6870 0.7447 0.9521  2 Th 3.48-3.53, 3 La 3.48-3.86, 5 Y 3.49-3.87
Y6 0.3091 0.0824 0.4457  2 Th 3.35-3.51, 6 Y 3.35-3.59, 1 La 3.45
Y7 0.6909 0.9176 0.5543  2 Th 3.35-3.51, 6 Y 3.35-3.59, 1 La 3.45
Y8 0.8130 0.0479 0.2553  2 Th 3.48-3.53, 3 La 3.48-3.86, 5 Y 3.49-3.87
Y9 0.9775 0.2603 0.6428  3 Th 3.44-3.60, 6 Y 3.48-3.69, 1 La 3.59
Y10 0.1870 0.9521 0.7447  2 Th 3.48-3.53, 3 La 3.48-3.86, 5 Y 3.49-3.87
Y11 0.5225 0.3572 0.7397  3 Th 3.44-3.60, 6 Y 3.48-3.69, 1 La 3.59
Y12 0.1909 0.5543 0.9176  2 Th 3.35-3.51, 6 Y 3.35-3.59, 1 La 3.45
Th1 0.1331 0.3854 0.3548  3 Th 3.26-3.41, 7 Y 3.35-3.60
Th2 0.3669 0.6452 0.6146  3 Th 3.26-3.41, 7 Y 3.35-3.60
Th3 0.6331 0.3548 0.3854  3 Th 3.26-3.41, 7 Y 3.35-3.60
Th4 0.8669 0.6146 0.6452  3 Th 3.26-3.41, 7 Y 3.35-3.60
La1 0.2500 0.9033 0.0967  10 Y 3.45-3.86
La2 0.7500 0.0967 0.9033  10 Y 3.45-3.86

Computed properties:
The total energy is -6.37 eV per atom. The total magnetic moment comes out at 0.0 μB/cell.

[8]
The following is a GGA-PBE calculation of a relaxed La7Y2Th2 crystal, from Alexandria via LeMat-Bulk.

Unit cell a=9.8286 b=9.0700 c=5.8800 alpha=49.51 beta=89.95 gamma=79.58
With the nearest neighbours (Å) after each atom.
Element x y z (fractional)
La1 0.3131 0.9867 0.5132  1 La 3.28, 2 Th 3.41, 1 Y 3.44
La2 0.1794 0.4063 0.5938  4 La 3.46-3.65, 2 Th 3.77-3.80, 4 Y 3.77-3.80
La3 0.8206 0.5937 0.4062  4 La 3.46-3.65, 2 Th 3.77-3.80, 4 Y 3.77-3.80
La4 0.6387 0.5593 0.9406  2 La 3.03-3.28
La5 0.0000 0.0000 0.0000  4 Y 3.47, 2 La 3.65
La6 0.6869 0.0133 0.4868  1 La 3.28, 2 Th 3.41, 1 Y 3.44
La7 0.3613 0.4407 0.0594  2 La 3.03-3.28
Th1 0.4265 0.7538 0.2466  8 La 3.41-3.80, 1 Th 3.46
Th2 0.5735 0.2462 0.7534  8 La 3.41-3.80, 1 Th 3.46
Y1 0.0253 0.7269 0.7734  1 Y 3.28, 4 La 3.42-3.47
Y2 0.9747 0.2731 0.2266  1 Y 3.28, 4 La 3.42-3.47

Computed properties:
The total energy is -5.51 eV per atom. The total magnetic moment comes out at 0.0 μB/cell.

[9]
The following is a GGA-PBE calculation of a relaxed La9YTh4 crystal, from Alexandria via LeMat-Bulk.

Unit cell a=11.1285 b=10.2451 c=10.2451 alpha=120.00 beta=90.00 gamma=90.00
With the nearest neighbours (Å) after each atom.
Element x y z (fractional)
La1 0.9560 0.6059 0.8029  1 Y 3.33, 2 Th 3.53-3.61, 2 La 3.63
La2 0.2500 0.0866 0.5433  2 Th 3.42, 1 Y 3.73, 2 La 3.79
La3 0.9560 0.1971 0.8029  1 Y 3.33, 2 Th 3.53-3.61, 2 La 3.63
La4 0.7500 0.5433 0.0866  2 Th 3.42, 1 Y 3.73, 2 La 3.79
La5 0.5440 0.6059 0.8029  1 Y 3.33, 2 Th 3.53-3.61, 2 La 3.63
La6 0.4560 0.3941 0.1971  1 Y 3.33, 2 Th 3.53-3.61, 2 La 3.63
La7 0.5440 0.1971 0.8029  1 Y 3.33, 2 Th 3.53-3.61, 2 La 3.63
La8 0.7500 0.9134 0.4567  2 Th 3.42, 1 Y 3.73, 2 La 3.79
La9 0.7500 0.5433 0.4567  2 Th 3.42, 1 Y 3.73, 2 La 3.79
La10 0.4560 0.8029 0.1971  1 Y 3.33, 2 Th 3.53-3.61, 2 La 3.63
La11 0.4560 0.8029 0.6059  1 Y 3.33, 2 Th 3.53-3.61, 2 La 3.63
La12 0.2500 0.4567 0.9134  2 Th 3.42, 1 Y 3.73, 2 La 3.79
La13 0.0440 0.8029 0.1971  1 Y 3.33, 2 Th 3.53-3.61, 2 La 3.63
La14 0.0440 0.3941 0.1971  1 Y 3.33, 2 Th 3.53-3.61, 2 La 3.63
La15 0.9560 0.1971 0.3941  1 Y 3.33, 2 Th 3.53-3.61, 2 La 3.63
La16 0.0440 0.8029 0.6059  1 Y 3.33, 2 Th 3.53-3.61, 2 La 3.63
La17 0.2500 0.4567 0.5433  2 Th 3.42, 1 Y 3.73, 2 La 3.79
La18 0.5440 0.1971 0.3941  1 Y 3.33, 2 Th 3.53-3.61, 2 La 3.63
Th1 0.2500 0.7776 0.8888  4 Th 3.41-3.42, 8 La 3.42-3.80
Th2 0.2500 0.1112 0.8888  4 Th 3.41-3.42, 8 La 3.42-3.80
Th3 0.0000 0.0000 0.0000  6 Th 3.41, 6 La 3.53
Th4 0.2500 0.1112 0.2224  4 Th 3.41-3.42, 8 La 3.42-3.80
Th5 0.7500 0.2224 0.1112  4 Th 3.41-3.42, 8 La 3.42-3.80
Th6 0.5000 0.0000 0.0000  6 Th 3.41, 6 La 3.53
Th7 0.7500 0.8888 0.1112  4 Th 3.41-3.42, 8 La 3.42-3.80
Th8 0.7500 0.8888 0.7776  4 Th 3.41-3.42, 8 La 3.42-3.80
Y1 0.2500 0.6667 0.3333  9 La 3.33-3.73
Y2 0.7500 0.3333 0.6667  9 La 3.33-3.73

Computed properties:
The total energy is -5.62 eV per atom. The total magnetic moment comes out at 0.0 μB/cell.